Density functional theory data (PBE-GGA) for a relaxed structure of HgBiTe2.

Energy relative to the elements, uncorrected in eV/atom: -0.116
Space group: P3_221 (154)

a = 4.4961 Å, b = 4.4961 Å, c = 23.7355 Å
α = 90.00°, β = 90.00°, γ = 60.00°
Sites, in units of the cell vectors:
Hg (0.0000, 0.1669, 0.0000)
Hg (0.1669, 0.8331, 0.3333)
Hg (0.8331, 0.0000, 0.6667)
Bi (0.7721, 0.0000, 0.1667)
Bi (0.2279, 0.7721, 0.8333)
Bi (0.0000, 0.2279, 0.5000)
Te (0.5507, 0.1172, 0.9113)
Te (0.3321, 0.5507, 0.5779)
Te (0.1172, 0.3321, 0.2446)
Te (0.6679, 0.8828, 0.4221)
Te (0.4493, 0.6679, 0.0887)
Te (0.8828, 0.4493, 0.7554)